Below is InTcSn2B after structural relaxation, with properties calculated at the PBE level.

Lattice parameters (Å, degrees): 5.120 5.120 5.244 90.00 90.00 90.00
Fractional coordinates of all 5 atoms:
In 0.000 0.000 0.000
Tc 0.000 0.000 0.500
Sn 0.000 0.500 0.500
Sn 0.500 0.000 0.500
B 0.500 0.500 0.000

Values from the calculation:
Relative energy among the computed polymorphs: 0.0141 eV per atom
Spin magnetization: 1.01 μB/f.u.
Volume: 137.5 Å³/cell
Calculated formation energy: 1.10 eV/atom

=====

Below is MnCu2B2 after structural relaxation, with properties calculated at the PBE level.

Lattice parameters (Å, degrees): 7.343 7.343 7.343 159.56 159.56 29.06
Fractional coordinates of all 5 atoms:
Mn 0.000 0.000 0.000
Cu 0.373 0.373 0.000
Cu 0.627 0.627 0.000
B 0.250 0.750 0.500
B 0.750 0.250 0.500

Values from the calculation:
Relative energy among the computed polymorphs: 0.0083 eV per atom
Spin magnetization: 0.00 μB/f.u.
Volume: 48.2 Å³/cell
Calculated formation energy: 0.60 eV/atom

=====

Below is Nb2Cu2Bi after structural relaxation, with properties calculated at the PBE level.

Lattice parameters (Å, degrees): 6.709 6.709 3.860 90.00 90.00 90.00
Fractional coordinates of all 10 atoms:
Nb 0.165 0.335 0.000
Nb 0.335 0.835 0.000
Nb 0.665 0.165 0.000
Nb 0.835 0.665 0.000
Cu 0.123 0.623 0.500
Cu 0.377 0.123 0.500
Cu 0.623 0.877 0.500
Cu 0.877 0.377 0.500
Bi 0.000 0.000 0.500
Bi 0.500 0.500 0.500

Values from the calculation:
Relative energy among the computed polymorphs: 0.0000 eV per atom
Spin magnetization: 0.00 μB/f.u.
Volume: 173.8 Å³/cell
Calculated formation energy: 0.32 eV/atom